Entry 1:
Below is an optimized crystal structure of Ba2AgOs, with properties calculated at the PBE-GGA level.

a b c (Å): 5.5228 5.5228 5.5228
angles (deg): 60.00 60.00 60.00
Last column: nearest neighbours and their distance in Å.
Positions (direct):
Ba: 0.2500 0.2500 0.2500  4 Os 3.38, 4 Ag 3.38
Ba: 0.7500 0.7500 0.7500  4 Os 3.38, 4 Ag 3.38
Ag: 0.0000 0.0000 0.0000  8 Ba 3.38
Os: 0.5000 0.5000 0.5000  8 Ba 3.38

***

Entry 2:
Below is an optimized crystal structure of BaAg2Os, with properties calculated at the PBE-GGA level.

a b c (Å): 5.5210 5.5210 5.5210
angles (deg): 131.98 131.98 70.26
Last column: nearest neighbours and their distance in Å.
Positions (direct):
Ba: 0.0000 0.0000 0.0000  4 Os 3.18, 8 Ag 3.18
Ag: 0.2500 0.7500 0.5000  4 Ag 3.18, 4 Os 3.18, 4 Ba 3.18
Ag: 0.7500 0.2500 0.5000  4 Ag 3.18, 4 Os 3.18, 4 Ba 3.18
Os: 0.5000 0.5000 0.0000  4 Ba 3.18, 8 Ag 3.18

***

Entry 3:
Below is an optimized crystal structure of BaAgOs, with properties calculated at the PBE-GGA level.

a b c (Å): 5.1748 5.1748 3.0401
angles (deg): 90.00 90.00 120.00
Last column: nearest neighbours and their distance in Å.
Positions (direct):
Ba: 0.0000 0.0000 0.0000  2 Ba 3.04, 6 Os 3.35, 6 Ag 3.35
Ag: 0.6667 0.3333 0.5007  3 Os 2.99, 2 Ag 3.04
Os: 0.3333 0.6667 0.4988  3 Ag 2.99, 2 Os 3.04

***

Entry 4:
Below is an optimized crystal structure of Ba2AgOs, with properties calculated at the PBE-GGA level.

a b c (Å): 3.7798 3.7798 9.2078
angles (deg): 90.00 90.00 90.00
Last column: nearest neighbours and their distance in Å.
Positions (direct):
Ba: 0.0000 0.0000 0.0000  1 Os 2.93
Ba: 0.5000 0.5000 0.4415  1 Ag 3.03
Ag: 0.5000 0.5000 0.7703  4 Os 2.80, 1 Ba 3.03
Os: 0.0000 0.0000 0.6813  4 Ag 2.80, 1 Ba 2.93

***

Entry 5:
Below is an optimized crystal structure of Ba2AgOs, with properties calculated at the PBE-GGA level.

a b c (Å): 4.6308 4.6308 8.8172
angles (deg): 96.78 96.78 43.93
Last column: nearest neighbours and their distance in Å.
Positions (direct):
Ba: 0.2417 0.2417 0.2176  3 Os 3.11-3.16, 1 Ag 3.44, 2 Ba 3.46
Ba: 0.7583 0.7583 0.7824  3 Os 3.11-3.16, 1 Ag 3.44, 2 Ba 3.46
Ag: 0.0000 0.0000 0.5000  6 Ba 3.44-3.57, 2 Ag 3.46
Os: 0.5000 0.5000 0.0000  6 Ba 3.11-3.16, 2 Os 3.46

***

Entry 6:
Below is an optimized crystal structure of BaAgOs3, with properties calculated at the PBE-GGA level.

a b c (Å): 5.0849 5.0849 5.0849
angles (deg): 90.00 90.00 90.00
Last column: nearest neighbours and their distance in Å.
Positions (direct):
Ba: 0.0000 0.0000 0.0000  6 Os 2.54
Ag: 0.5000 0.5000 0.5000  12 Os 3.60
Os: 0.0000 0.0000 0.5000  2 Ba 2.54
Os: 0.0000 0.5000 0.0000  2 Ba 2.54
Os: 0.5000 0.0000 0.0000  2 Ba 2.54

***

no.,volume (Å³ per atom),energy relative to the elements (eV/atom),spin magnetization (μB per cell)
1,29.8,0.573,0.7
2,22.8,0.862,1.4
3,23.5,0.973,0.1
4,32.9,0.632,0.0
5,32.5,0.689,0.6
6,26.3,3.685,4.8